No. 1
This record from Alexandria via LeMat-Bulk describes a relaxed PrDy5Cd6 crystal. The functional is GGA-PBE.

Results
Calculated volume = 26.74 A^3/atom
VASP energy = -37.043 eV/cell
DOS at the Fermi energy = 14.52 states/eV/f.u.
DFT formation energy = -0.314 eV/atom

Lattice parameters (Å, degrees): 8.4063 8.4063 7.5881 90.00 90.00 143.25
Last column: nearest neighbours and their distance in Å.
Fractional positions:
Pr 0.0000 0.0000 0.0000  8 Cd 3.29-3.34
Dy 0.0000 0.0000 0.5000  8 Cd 3.23-3.29
Dy 0.3321 0.6679 0.0000  8 Cd 3.23-3.31
Dy 0.3357 0.6643 0.5000  8 Cd 3.21-3.23
Dy 0.6643 0.3357 0.5000  8 Cd 3.21-3.23
Dy 0.6679 0.3321 0.0000  8 Cd 3.23-3.31
Cd 0.1703 0.8297 0.2564  7 Dy 3.22-3.29, 1 Pr 3.34
Cd 0.1703 0.8297 0.7436  7 Dy 3.22-3.29, 1 Pr 3.34
Cd 0.5000 0.5000 0.2566  6 Dy 3.21-3.31, 2 Pr 3.29
Cd 0.5000 0.5000 0.7434  6 Dy 3.21-3.31, 2 Pr 3.29
Cd 0.8297 0.1703 0.2564  7 Dy 3.22-3.29, 1 Pr 3.34
Cd 0.8297 0.1703 0.7436  7 Dy 3.22-3.29, 1 Pr 3.34

---

No. 2
This record from Alexandria via LeMat-Bulk describes a relaxed Pr2DyCd8 crystal. The functional is GGA-PBE.

Results
Calculated volume = 25.57 A^3/atom
VASP energy = -24.230 eV/cell
DOS at the Fermi energy = 6.42 states/eV/f.u.
DFT formation energy = -0.250 eV/atom

Lattice parameters (Å, degrees): 9.0811 9.0811 5.3591 107.14 107.14 124.62
Last column: nearest neighbours and their distance in Å.
Fractional positions:
Pr 0.1913 0.8087 0.0000  12 Cd 3.23-3.40
Pr 0.8087 0.1913 0.0000  12 Cd 3.23-3.40
Dy 0.5000 0.5000 0.5000  6 Cd 3.17-3.53
Cd 0.0010 0.0010 0.7534  2 Cd 2.65-2.71
Cd 0.1506 0.3979 0.7735  5 Cd 2.95-3.28
Cd 0.3032 0.6968 0.5000  1 Dy 3.17, 4 Pr 3.23-3.26, 6 Cd 3.27-3.40
Cd 0.3979 0.1506 0.7735  5 Cd 2.95-3.28
Cd 0.6021 0.8494 0.2265  5 Cd 2.95-3.28
Cd 0.6968 0.3032 0.5000  1 Dy 3.17, 4 Pr 3.23-3.26, 6 Cd 3.27-3.40
Cd 0.8494 0.6021 0.2265  5 Cd 2.95-3.28
Cd 0.9990 0.9990 0.2466  2 Cd 2.65-2.71

---

No. 3
This record from Alexandria via LeMat-Bulk describes a relaxed PrDyCd4 crystal. The functional is GGA-PBE.

Results
Calculated volume = 25.38 A^3/atom
VASP energy = -15.015 eV/cell
DOS at the Fermi energy = 4.43 states/eV/f.u.
DFT formation energy = -0.329 eV/atom

Lattice parameters (Å, degrees): 3.4555 8.7381 5.0427 90.00 90.09 90.00
Last column: nearest neighbours and their distance in Å.
Fractional positions:
Pr 0.0000 0.0000 0.0000  12 Cd 3.40-3.42, 2 Pr 3.46
Dy 0.0000 0.5000 0.5000  12 Cd 3.35-3.37, 2 Dy 3.46
Cd 0.5000 0.1719 0.5000  3 Cd 2.91-3.00
Cd 0.5000 0.3376 0.0000  3 Cd 2.84-2.91
Cd 0.5000 0.6624 0.0000  3 Cd 2.84-2.91
Cd 0.5000 0.8281 0.5000  3 Cd 2.91-3.00

---

No. 4
This record from Alexandria via LeMat-Bulk describes a relaxed Pr9DyCd2 crystal. The functional is GGA-PBE.

Results
Calculated volume = 32.80 A^3/atom
VASP energy = -50.249 eV/cell
DOS at the Fermi energy = 17.72 states/eV/f.u.
DFT formation energy = -0.067 eV/atom

Lattice parameters (Å, degrees): 5.0621 5.0621 15.3591 90.00 90.00 90.00
Last column: nearest neighbours and their distance in Å.
Fractional positions:
Pr 0.0000 0.0000 0.0000  4 Dy 3.58, 8 Pr 3.66
Pr 0.0000 0.0000 0.3358  8 Pr 3.57, 4 Cd 3.58
Pr 0.0000 0.0000 0.6642  8 Pr 3.57, 4 Cd 3.58
Pr 0.0000 0.5000 0.1721  8 Pr 3.57-3.66, 2 Cd 3.61, 2 Dy 3.66
Pr 0.0000 0.5000 0.5000  4 Cd 3.53, 8 Pr 3.57-3.58
Pr 0.0000 0.5000 0.8279  8 Pr 3.57-3.66, 2 Cd 3.61, 2 Dy 3.66
Pr 0.5000 0.0000 0.1721  8 Pr 3.57-3.66, 2 Cd 3.61, 2 Dy 3.66
Pr 0.5000 0.0000 0.5000  4 Cd 3.53, 8 Pr 3.57-3.58
Pr 0.5000 0.0000 0.8279  8 Pr 3.57-3.66, 2 Cd 3.61, 2 Dy 3.66
Dy 0.5000 0.5000 0.0000  12 Pr 3.58-3.66
Cd 0.5000 0.5000 0.3394  12 Pr 3.53-3.61
Cd 0.5000 0.5000 0.6606  12 Pr 3.53-3.61

---

No. 5
This record from Alexandria via LeMat-Bulk describes a relaxed PrDy2Cd3 crystal. The functional is GGA-PBE.

Results
Calculated volume = 27.24 A^3/atom
VASP energy = -18.617 eV/cell
DOS at the Fermi energy = 6.75 states/eV/f.u.
DFT formation energy = -0.315 eV/atom

Lattice parameters (Å, degrees): 3.7793 3.7793 11.4411 90.00 90.00 90.00
Last column: nearest neighbours and their distance in Å.
Fractional positions:
Pr 0.0000 0.0000 0.0000  8 Cd 3.38, 4 Pr 3.78
Dy 0.0000 0.0000 0.3381  8 Cd 3.22-3.25
Dy 0.0000 0.0000 0.6619  8 Cd 3.22-3.25
Cd 0.5000 0.5000 0.1811  4 Dy 3.22, 4 Pr 3.38
Cd 0.5000 0.5000 0.5000  8 Dy 3.25
Cd 0.5000 0.5000 0.8189  4 Dy 3.22, 4 Pr 3.38

---

No. 6
This record from Alexandria via LeMat-Bulk describes a relaxed PrDyCd crystal. The functional is GGA-PBE.

Results
Calculated volume = 29.98 A^3/atom
VASP energy = -10.521 eV/cell
DOS at the Fermi energy = 4.32 states/eV/f.u.
DFT formation energy = -0.075 eV/atom

Lattice parameters (Å, degrees): 5.3163 5.3163 3.6739 90.00 90.00 120.00
Last column: nearest neighbours and their distance in Å.
Fractional positions:
Pr 0.0000 0.0000 0.0000  3 Cd 3.33, 6 Dy 3.47-3.70, 2 Pr 3.67
Dy 0.3333 0.6667 0.5616  3 Cd 3.17, 3 Pr 3.47
Cd 0.6667 0.3333 0.3500  3 Dy 3.17, 3 Pr 3.33

---

No. 7
This record from Alexandria via LeMat-Bulk describes a relaxed PrDyCd4 crystal. The functional is GGA-PBE.

Results
Calculated volume = 25.06 A^3/atom
VASP energy = -14.709 eV/cell
DOS at the Fermi energy = 3.64 states/eV/f.u.
DFT formation energy = -0.278 eV/atom

Lattice parameters (Å, degrees): 5.9689 5.9689 5.9689 60.00 60.00 60.00
Last column: nearest neighbours and their distance in Å.
Fractional positions:
Pr 0.0000 0.0000 0.0000  12 Cd 3.50, 4 Dy 3.66
Dy 0.2500 0.2500 0.2500  12 Cd 3.50, 4 Pr 3.66
Cd 0.1252 0.6249 0.6249  6 Cd 2.98-2.99
Cd 0.6249 0.1252 0.6249  6 Cd 2.98-2.99
Cd 0.6249 0.6249 0.1252  6 Cd 2.98-2.99
Cd 0.6249 0.6249 0.6249  6 Cd 2.98-2.99

---

No. 8
This record from Alexandria via LeMat-Bulk describes a relaxed Pr2Dy8Cd crystal. The functional is GGA-PBE.

Results
Calculated volume = 31.29 A^3/atom
VASP energy = -47.356 eV/cell
DOS at the Fermi energy = 15.79 states/eV/f.u.
DFT formation energy = -0.006 eV/atom

Lattice parameters (Å, degrees): 9.3665 9.3665 7.9107 104.96 104.96 30.98
Last column: nearest neighbours and their distance in Å.
Fractional positions:
Pr 0.2230 0.2230 0.1374  10 Dy 3.46-3.64, 2 Pr 3.62
Pr 0.7770 0.7770 0.8626  10 Dy 3.46-3.64, 2 Pr 3.62
Dy 0.0445 0.0445 0.2218  9 Dy 3.45-3.55, 1 Pr 3.46, 2 Cd 3.56
Dy 0.1331 0.1331 0.6734  2 Cd 3.49, 7 Dy 3.50-3.61, 3 Pr 3.59-3.63
Dy 0.3201 0.3201 0.5904  8 Dy 3.50-3.61, 1 Cd 3.51, 3 Pr 3.52-3.54
Dy 0.4121 0.4121 0.0558  1 Cd 3.45, 8 Dy 3.47-3.61, 3 Pr 3.54-3.64
Dy 0.5879 0.5879 0.9442  1 Cd 3.45, 8 Dy 3.47-3.61, 3 Pr 3.54-3.64
Dy 0.6799 0.6799 0.4096  8 Dy 3.50-3.61, 1 Cd 3.51, 3 Pr 3.52-3.54
Dy 0.8669 0.8669 0.3266  2 Cd 3.49, 7 Dy 3.50-3.61, 3 Pr 3.59-3.63
Dy 0.9555 0.9555 0.7782  9 Dy 3.45-3.55, 1 Pr 3.46, 2 Cd 3.56
Cd 0.5000 0.5000 0.5000  12 Dy 3.45-3.56

---

No. 9
This record from Alexandria via LeMat-Bulk describes a relaxed Pr6DyCd5 crystal. The functional is GGA-PBE.

Results
Calculated volume = 29.88 A^3/atom
VASP energy = -40.610 eV/cell
DOS at the Fermi energy = 16.17 states/eV/f.u.
DFT formation energy = -0.230 eV/atom

Lattice parameters (Å, degrees): 9.5929 9.5929 9.5929 146.72 131.69 59.93
Last column: nearest neighbours and their distance in Å.
Fractional positions:
Pr 0.0729 0.3292 0.7437  7 Cd 3.35-3.46, 1 Dy 3.48
Pr 0.2340 0.0000 0.2340  6 Cd 3.30-3.34, 2 Dy 3.45, 1 Pr 3.67
Pr 0.4145 0.6708 0.7437  7 Cd 3.35-3.46, 1 Dy 3.48
Pr 0.5855 0.3292 0.2563  7 Cd 3.35-3.46, 1 Dy 3.48
Pr 0.7660 0.0000 0.7660  6 Cd 3.30-3.34, 2 Dy 3.45, 1 Pr 3.67
Pr 0.9271 0.6708 0.2563  7 Cd 3.35-3.46, 1 Dy 3.48
Dy 0.5000 0.5000 0.0000  8 Pr 3.45-3.48, 4 Cd 3.77
Cd 0.0000 0.5000 0.5000  8 Pr 3.30-3.42
Cd 0.1681 0.1681 0.0000  8 Pr 3.34-3.35
Cd 0.3445 0.8445 0.5000  8 Pr 3.32-3.46
Cd 0.6555 0.1555 0.5000  8 Pr 3.32-3.46
Cd 0.8319 0.8319 0.0000  8 Pr 3.34-3.35

---

No. 10
This record from Alexandria via LeMat-Bulk describes a relaxed PrDy8Cd2 crystal. The functional is GGA-PBE.

Results
Calculated volume = 34.63 A^3/atom
VASP energy = -39.826 eV/cell
DOS at the Fermi energy = 17.02 states/eV/f.u.
DFT formation energy = 0.327 eV/atom

Lattice parameters (Å, degrees): 8.7258 8.7258 5.2918 98.89 98.89 74.53
Last column: nearest neighbours and their distance in Å.
Fractional positions:
Pr 0.0000 0.0000 0.0000  4 Cd 3.18-3.27, 6 Dy 3.25-3.41
Dy 0.1706 0.6355 0.2100  1 Cd 3.17, 2 Dy 3.32-3.47, 1 Pr 3.41
Dy 0.2388 0.2388 0.1188  2 Cd 2.97-3.03, 1 Pr 3.25
Dy 0.3645 0.8294 0.7900  1 Cd 3.17, 2 Dy 3.32-3.47, 1 Pr 3.41
Dy 0.4166 0.4166 0.7089  10 Dy 3.47-3.65, 1 Cd 3.83
Dy 0.5834 0.5834 0.2911  10 Dy 3.47-3.65, 1 Cd 3.83
Dy 0.6355 0.1706 0.2100  1 Cd 3.17, 2 Dy 3.32-3.47, 1 Pr 3.41
Dy 0.7612 0.7612 0.8812  2 Cd 2.97-3.03, 1 Pr 3.25
Dy 0.8294 0.3645 0.7900  1 Cd 3.17, 2 Dy 3.32-3.47, 1 Pr 3.41
Cd 0.1353 0.1353 0.5594  4 Dy 2.97-3.17, 2 Pr 3.18-3.27
Cd 0.8647 0.8647 0.4406  4 Dy 2.97-3.17, 2 Pr 3.18-3.27

---

No. 11
This record from Alexandria via LeMat-Bulk describes a relaxed Pr2DyCd2 crystal. The functional is GGA-PBE.

Results
Calculated volume = 31.05 A^3/atom
VASP energy = -32.410 eV/cell
DOS at the Fermi energy = 7.02 states/eV/f.u.
DFT formation energy = -0.043 eV/atom

Lattice parameters (Å, degrees): 8.0171 8.0171 8.0171 117.93 79.70 135.26
Last column: nearest neighbours and their distance in Å.
Fractional positions:
Pr 0.2098 0.1494 0.3592  5 Cd 3.23-3.59, 2 Pr 3.61
Pr 0.2902 0.6494 0.9396  5 Cd 3.23-3.59, 2 Pr 3.61
Pr 0.7098 0.3506 0.0604  5 Cd 3.23-3.59, 2 Pr 3.61
Pr 0.7902 0.8506 0.6408  5 Cd 3.23-3.59, 2 Pr 3.61
Dy 0.2500 0.7500 0.5000  2 Dy 3.05, 4 Cd 3.22
Dy 0.7500 0.2500 0.5000  2 Dy 3.05, 4 Cd 3.22
Cd 0.0562 0.8324 0.8885  3 Cd 3.10-3.35, 2 Dy 3.22, 3 Pr 3.23-3.28
Cd 0.4438 0.3324 0.7762  3 Cd 3.10-3.35, 2 Dy 3.22, 3 Pr 3.23-3.28
Cd 0.5562 0.6676 0.2238  3 Cd 3.10-3.35, 2 Dy 3.22, 3 Pr 3.23-3.28
Cd 0.9438 0.1676 0.1115  3 Cd 3.10-3.35, 2 Dy 3.22, 3 Pr 3.23-3.28

---

No. 12
This record from Alexandria via LeMat-Bulk describes a relaxed PrDy2Cd8 crystal. The functional is GGA-PBE.

Results
Calculated volume = 24.75 A^3/atom
VASP energy = -24.255 eV/cell
DOS at the Fermi energy = 6.15 states/eV/f.u.
DFT formation energy = -0.268 eV/atom

Lattice parameters (Å, degrees): 8.9914 8.9914 5.3472 106.99 106.99 125.30
Last column: nearest neighbours and their distance in Å.
Fractional positions:
Pr 0.0000 0.0000 0.0000  6 Cd 3.24-3.46
Dy 0.3102 0.6898 0.5000  12 Cd 3.18-3.31
Dy 0.6898 0.3102 0.5000  12 Cd 3.18-3.31
Cd 0.1015 0.3629 0.7369  6 Cd 2.96-3.30, 3 Dy 3.23-3.31
Cd 0.2029 0.7971 0.0000  6 Cd 3.16-3.30, 4 Dy 3.18-3.19, 1 Pr 3.24
Cd 0.3629 0.1015 0.7369  6 Cd 2.96-3.30, 3 Dy 3.23-3.31
Cd 0.4956 0.4956 0.7440  2 Cd 2.66-2.69
Cd 0.5044 0.5044 0.2560  2 Cd 2.66-2.69
Cd 0.6371 0.8985 0.2631  6 Cd 2.96-3.30, 3 Dy 3.23-3.31
Cd 0.7971 0.2029 0.0000  6 Cd 3.16-3.30, 4 Dy 3.18-3.19, 1 Pr 3.24
Cd 0.8985 0.6371 0.2631  6 Cd 2.96-3.30, 3 Dy 3.23-3.31